Rb2LaNiTe: optimized geometry, PBE.

Space group: P4/mmm
Formation energy (no corrections): 31.3 kJ per mole of atoms
Total magnetization: 0.37 μB/atom
Electronic total energy: -14.16 eV/cell
Volume: 40.79 Å³/atom

abc: 6.562 6.562 4.736
angles: 90.00 90.00 90.00
Positions (direct):
Ni  0.000  0.000  0.000
Te  0.000  0.000  0.500
Rb  0.000  0.500  0.000
Rb  0.500  0.000  0.000
La  0.500  0.500  0.500